! HfAl2Pt2 (PBE-GGA, relaxed); values from VASP
&SYSTEM
  ibrav = 0, nat = 5, ntyp = 3
/
ATOMIC_SPECIES
Pt 195.08 Pt.upf
Al 26.98 Al.upf
Hf 178.49 Hf.upf
ATOMIC_POSITIONS crystal
Pt 0.391 0.391 0.218
Pt 0.609 0.609 0.782
Al 0.750 0.250 0.500
Al 0.250 0.750 0.500
Hf 0.000 0.000 0.000
CELL_PARAMETERS angstrom
-1.681 -2.057 -2.671
-2.657 -1.029 2.464
-5.518 3.274 -1.704
! - Spin magnetization: 0.00 μB/f.u.
! - Excess energy over the best structure of this formula in the dataset: 0.000 eV/atom
! - ΔH_f (0 K): -0.90 eV per atom
! - V: 17.26 Å³ per atom